1.
Entry from Alexandria via LeMat-Bulk: a relaxed MgZn6Ga12 crystal (GGA-PBE).

Computed properties:
- Magnetic moment: 0.00 μB per cell
- ΔE_f: 0.026 eV/atom
- Energy relative to the lowest polymorph listed for this composition: 0 meV per atom
- Raw total energy: -45.1 eV/cell

a = 7.2774 Å, b = 7.2774 Å, c = 7.2774 Å
α = 102.66°, β = 102.66°, γ = 102.66°
Sites, in units of the cell vectors:
Mg: 0.0000 0.0000 0.0000
Zn: 0.7276 0.8236 0.5591
Zn: 0.4409 0.2724 0.1764
Zn: 0.1764 0.4409 0.2724
Zn: 0.2724 0.1764 0.4409
Zn: 0.5591 0.7276 0.8236
Zn: 0.8236 0.5591 0.7276
Ga: 0.8298 0.4869 0.3528
Ga: 0.3528 0.8298 0.4869
Ga: 0.4869 0.3528 0.8298
Ga: 0.1702 0.5131 0.6472
Ga: 0.6472 0.1702 0.5131
Ga: 0.5131 0.6472 0.1702
Ga: 0.9593 0.8577 0.3204
Ga: 0.1423 0.6796 0.0407
Ga: 0.6796 0.0407 0.1423
Ga: 0.0407 0.1423 0.6796
Ga: 0.8577 0.3204 0.9593
Ga: 0.3204 0.9593 0.8577

***

2.
Entry from Alexandria via LeMat-Bulk: a relaxed ThTl2Te2O6 crystal (GGA-PBE).

Computed properties:
- Magnetic moment: 0.00 μB per cell
- Raw total energy: -65.0 eV/cell

a = 7.1777 Å, b = 6.2375 Å, c = 6.6513 Å
α = 108.99°, β = 90.00°, γ = 125.13°
Sites, in units of the cell vectors:
Th: 0.5000 0.0000 0.5000
Tl: 0.6872 0.3745 0.1225
Tl: 0.3128 0.6255 0.8775
Te: 0.9451 0.8901 0.7476
Te: 0.0549 0.1099 0.2524
O: 0.7482 0.4964 0.7061
O: 0.3266 0.0714 0.2614
O: 0.2552 0.9286 0.7386
O: 0.6734 0.9286 0.7386
O: 0.7448 0.0714 0.2614
O: 0.2518 0.5036 0.2939

***

3.
Entry from Alexandria via LeMat-Bulk: a relaxed MnFeGe4 crystal (GGA-PBE).

Computed properties:
- Magnetic moment: 5.04 μB per cell
- ΔE_f: 0.182 eV/atom
- Energy relative to the lowest polymorph listed for this composition: 0 meV per atom
- Raw total energy: -35.0 eV/cell

a = 4.2959 Å, b = 4.2959 Å, c = 5.5115 Å
α = 90.00°, β = 90.00°, γ = 90.00°
Site moments in Bohr magnetons follow the coordinates.
Sites, in units of the cell vectors:
Mn: 0.0000 0.0000 0.5000  2.68
Fe: 0.0000 0.0000 0.0000  2.10
Ge: 0.5000 0.0000 0.2463  0.00
Ge: 0.0000 0.5000 0.2463  0.00
Ge: 0.0000 0.5000 0.7537  0.00
Ge: 0.5000 0.0000 0.7537  0.00

***

4.
Entry from Alexandria via LeMat-Bulk: a relaxed MnRh2W crystal (GGA-PBE).

Computed properties:
- Magnetic moment: 2.20 μB per cell
- ΔE_f: 0.048 eV/atom
- Energy relative to the lowest polymorph listed for this composition: 216 meV per atom
- Raw total energy: -36.6 eV/cell

a = 3.1733 Å, b = 3.1733 Å, c = 5.7246 Å
α = 90.00°, β = 90.00°, γ = 90.00°
Site moments in Bohr magnetons follow the coordinates.
Sites, in units of the cell vectors:
Mn: 0.5000 0.5000 0.7586  2.40
Rh: 0.0000 0.0000 0.9687  0.23
Rh: 0.5000 0.5000 0.2654  -0.08
W: 0.0000 0.0000 0.5073  -0.33